Record 1
The following is a GGA-PBE calculation of Tl5Cr after structural relaxation, from Alexandria via LeMat-Bulk.

Properties
Crystal system: hexagonal
VASP energy: -3.27 eV per atom
Energy relative to the lowest polymorph listed for this composition: 58 meV/atom
Formation enthalpy at 0 K: 0.3104 eV/atom

```
data_Tl5Cr
_chemical_formula_sum 'Tl5 Cr1'
_cell_length_a 5.9710
_cell_length_b 5.9710
_cell_length_c 5.3916
_cell_angle_alpha 90.00
_cell_angle_beta 90.00
_cell_angle_gamma 120.00
_symmetry_space_group_name_H-M 'P -6 2 m'
_symmetry_Int_Tables_number 189
_symmetry_space_group_name_Hall 'P -6 -2'
loop_
_atom_site_label
_atom_site_type_symbol
_atom_site_fract_x
_atom_site_fract_y
_atom_site_fract_z
Tl1 Tl 0.0000 0.6817 0.0000
Tl2 Tl 0.3333 0.6667 0.5000
Cr1 Cr 0.0000 0.0000 0.5000
```

Record 2
The following is a GGA-PBE calculation of Tb5Ir2 after structural relaxation, from Alexandria via LeMat-Bulk.

Properties
Crystal system: monoclinic
VASP energy: -6.48 eV per atom
Formation enthalpy at 0 K: -0.6390 eV/atom

```
data_Tb5Ir2
_chemical_formula_sum 'Tb20 Ir8'
_cell_length_a 15.974
_cell_length_b 6.520
_cell_length_c 7.212
_cell_angle_alpha 90.00
_cell_angle_beta 97.12
_cell_angle_gamma 90.00
_symmetry_space_group_name_H-M 'C 1 2/c 1'
_symmetry_Int_Tables_number 15
loop_
_symmetry_equiv_pos_as_xyz
'x,y,z'
'-x,-y,-z'
'-x,y,-z+1/2'
'x,-y,z+1/2'
'x+1/2,y+1/2,z'
'-x+1/2,-y+1/2,-z'
'-x+1/2,y+1/2,-z+1/2'
'x+1/2,-y+1/2,z+1/2'
loop_
_atom_site_label
_atom_site_type_symbol
_atom_site_fract_x
_atom_site_fract_y
_atom_site_fract_z
Tb1 Tb 0.000 0.070 0.250
Tb2 Tb 0.093 0.385 0.918
Tb3 Tb 0.219 0.069 0.315
Ir1 Ir 0.111 0.213 0.574
```

Record 3
The following is a GGA-PBE calculation of Ga3CI after structural relaxation, from Alexandria via LeMat-Bulk.

Properties
Crystal system: cubic
VASP energy: -3.30 eV per atom
Energy relative to the lowest polymorph listed for this composition: 0 meV/atom
Energy relative to the elements, uncorrected: 0.6686 eV/atom

```
data_Ga3CI
_chemical_formula_sum 'Ga3 C1 I1'
_cell_length_a 4.734
_cell_length_b 4.734
_cell_length_c 4.734
_cell_angle_alpha 90.00
_cell_angle_beta 90.00
_cell_angle_gamma 90.00
_symmetry_space_group_name_H-M 'P m -3 m'
_symmetry_Int_Tables_number 221
_symmetry_space_group_name_Hall '-P 4 2 3'
loop_
_atom_site_label
_atom_site_type_symbol
_atom_site_fract_x
_atom_site_fract_y
_atom_site_fract_z
Ga1 Ga 0.000 0.000 0.500
C1 C 0.000 0.000 0.000
I1 I 0.500 0.500 0.500
```

Record 4
The following is a GGA-PBE calculation of HfTi2Re after structural relaxation, from Alexandria via LeMat-Bulk.

Properties
Crystal system: tetragonal
VASP energy: -9.60 eV per atom
Energy relative to the lowest polymorph listed for this composition: 206 meV/atom
Formation enthalpy at 0 K: -0.0491 eV/atom

```
data_HfTi2Re
_chemical_formula_sum 'Hf1 Ti2 Re1'
_cell_length_a 4.560
_cell_length_b 4.560
_cell_length_c 3.266
_cell_angle_alpha 90.00
_cell_angle_beta 90.00
_cell_angle_gamma 90.00
_symmetry_space_group_name_H-M 'P 4/m m m'
_symmetry_Int_Tables_number 123
_symmetry_space_group_name_Hall '-P 4 2'
loop_
_atom_site_label
_atom_site_type_symbol
_atom_site_fract_x
_atom_site_fract_y
_atom_site_fract_z
Hf1 Hf 0.000 0.000 0.000
Ti1 Ti 0.000 0.500 0.500
Re1 Re 0.500 0.500 0.000
```

For the records above, the corresponding N(E_F) values read 3.35, 29.76, 1.33, 6.31 states/eV per cell.